Here is AgGe2C after structural relaxation from Alexandria. Energies are from PBE-GGA.

Calculated values
SG = No. 122
Size of the total moment = 0.0 μB/f.u.
Offset from the most stable computed form = 0 meV/atom

POSCAR file:
```
AgGe2C
1.0
5.5922 0.0000 0.0000
0.0000 5.5922 0.0000
0.0000 0.0000 9.0166
Ag Ge C
4 8 4
Direct
0.0000 0.0000 0.0000
0.0000 0.5000 0.2500
0.5000 0.0000 0.7500
0.5000 0.5000 0.5000
0.1698 0.2500 0.6250
0.2500 0.6698 0.8750
0.2500 0.8302 0.3750
0.3302 0.2500 0.1250
0.6698 0.7500 0.1250
0.7500 0.1698 0.3750
0.7500 0.3302 0.8750
0.8302 0.7500 0.6250
0.0000 0.0000 0.5000
0.0000 0.5000 0.7500
0.5000 0.0000 0.2500
0.5000 0.5000 0.0000
```